No. 1
This record from Alexandria describes a relaxed structure of CaNdHo4Se8. The functional is PBE.

Unit cell a=8.4433 b=8.4433 c=8.5126 alpha=60.27 beta=60.27 gamma=60.00
With the nearest neighbours (Å) after each atom.
Fractional coordinates of all 14 atoms:
Ca 0.3736 0.3736 0.8792  4 Se 2.79-2.81
Nd 0.0020 0.0020 0.9940  6 Se 2.94-3.01
Ho 0.6257 0.6257 0.1228  4 Se 2.73-2.77
Ho 0.0019 0.4938 0.5023  6 Se 2.83-2.93
Ho 0.4938 0.0019 0.5023  6 Se 2.83-2.93
Ho 0.0019 0.0019 0.5023  6 Se 2.83-2.93
Se 0.2463 0.7775 0.7299  1 Ca 2.79, 2 Ho 2.83, 1 Nd 2.94
Se 0.7775 0.2463 0.7299  1 Ca 2.79, 2 Ho 2.83, 1 Nd 2.94
Se 0.2463 0.2463 0.7299  1 Ca 2.79, 2 Ho 2.83, 1 Nd 2.94
Se 0.2393 0.2393 0.2820  1 Ca 2.81, 3 Ho 2.85
Se 0.7516 0.2302 0.2666  3 Ho 2.73-2.92, 1 Nd 3.01
Se 0.2302 0.7516 0.2666  3 Ho 2.73-2.92, 1 Nd 3.01
Se 0.7516 0.7516 0.2666  3 Ho 2.73-2.92, 1 Nd 3.01
Se 0.7582 0.7582 0.7255  4 Ho 2.77-2.93

Summary:
**Uncorrected formation energy**: -1.79 eV/atom
**Total moment**: 0.0 μB per formula unit
**SG**: No. 160

---

No. 2
This record from Alexandria describes a relaxed structure of CaNd2HoSe4. The functional is PBE.

Unit cell a=4.1383 b=7.1919 c=7.3104 alpha=108.91 beta=90.00 gamma=90.00
With the nearest neighbours (Å) after each atom.
Fractional coordinates of all 8 atoms:
Ca 0.0000 0.0000 0.0000  6 Se 2.90-2.92
Nd 0.5000 0.0000 0.5000  6 Se 3.02
Nd 0.0000 0.5000 0.5000  6 Se 2.99-3.00
Ho 0.5000 0.5000 0.0000  6 Se 2.88-2.89
Se 0.5000 0.2493 0.2382  1 Ho 2.88, 2 Ca 2.92, 3 Nd 2.99-3.02
Se 0.5000 0.7507 0.7618  1 Ho 2.88, 2 Ca 2.92, 3 Nd 2.99-3.02
Se 0.0000 0.2567 0.7645  2 Ho 2.89, 1 Ca 2.90, 3 Nd 3.00-3.02
Se 0.0000 0.7433 0.2355  2 Ho 2.89, 1 Ca 2.90, 3 Nd 3.00-3.02

Summary:
**Uncorrected formation energy**: -1.84 eV/atom
**Total moment**: 0.0 μB per formula unit
**SG**: No. 10

---

No. 3
This record from Alexandria describes a relaxed structure of CaNdSmHo. The functional is PBE.

Unit cell a=5.8206 b=5.8206 c=5.8206 alpha=60.00 beta=60.00 gamma=60.00
With the nearest neighbours (Å) after each atom.
Fractional coordinates of all 4 atoms:
Ca 0.2500 0.2500 0.2500  4 Nd 3.56, 4 Sm 3.56
Nd 0.0000 0.0000 0.0000  4 Ho 3.56, 4 Ca 3.56
Ho 0.7500 0.7500 0.7500  4 Nd 3.56, 4 Sm 3.56
Sm 0.5000 0.5000 0.5000  4 Ho 3.56, 4 Ca 3.56

Summary:
**Formation energy from the elements**: 0.51 eV/f.u.
**Total moment**: 0.0 μB per formula unit
**SG**: No. 216

---

No. 4
This record from Alexandria describes a relaxed structure of CaNd6SmHo2. The functional is PBE.

Unit cell a=9.9078 b=9.0241 c=9.0241 alpha=118.31 beta=94.27 gamma=94.27
With the nearest neighbours (Å) after each atom.
Fractional coordinates of all 20 atoms:
Ca 0.2500 0.4021 0.5979  6 Nd 3.58-3.67, 2 Ho 3.67
Ca 0.7500 0.5979 0.4021  6 Nd 3.58-3.67, 2 Ho 3.67
Nd 0.0523 0.1120 0.7617  4 Nd 3.44-3.79, 1 Ho 3.48, 1 Sm 3.70
Nd 0.4477 0.2383 0.8880  4 Nd 3.44-3.79, 1 Ho 3.48, 1 Sm 3.70
Nd 0.9477 0.8880 0.2383  4 Nd 3.44-3.79, 1 Ho 3.48, 1 Sm 3.70
Nd 0.5523 0.7617 0.1120  4 Nd 3.44-3.79, 1 Ho 3.48, 1 Sm 3.70
Nd 0.3232 0.9737 0.4336  2 Nd 3.28-3.54, 2 Ho 3.54-3.66, 1 Ca 3.58
Nd 0.1768 0.5664 0.0263  2 Nd 3.28-3.54, 2 Ho 3.54-3.66, 1 Ca 3.58
Nd 0.6768 0.0263 0.5664  2 Nd 3.28-3.54, 2 Ho 3.54-3.66, 1 Ca 3.58
Nd 0.8232 0.4336 0.9737  2 Nd 3.28-3.54, 2 Ho 3.54-3.66, 1 Ca 3.58
Nd 0.1219 0.7088 0.4961  3 Nd 3.28-3.44, 3 Ho 3.34-3.50, 2 Ca 3.59-3.67
Nd 0.3781 0.5039 0.2912  3 Nd 3.28-3.44, 3 Ho 3.34-3.50, 2 Ca 3.59-3.67
Nd 0.8781 0.2912 0.5039  3 Nd 3.28-3.44, 3 Ho 3.34-3.50, 2 Ca 3.59-3.67
Nd 0.6219 0.4961 0.7088  3 Nd 3.28-3.44, 3 Ho 3.34-3.50, 2 Ca 3.59-3.67
Sm 0.2500 0.9726 0.0274  4 Ho 3.46-3.49, 4 Nd 3.68-3.70
Sm 0.7500 0.0274 0.9726  4 Ho 3.46-3.49, 4 Nd 3.68-3.70
Ho 0.4554 0.8020 0.7023  6 Nd 3.34-3.66, 2 Sm 3.46-3.49, 1 Ca 3.67
Ho 0.0446 0.2977 0.1980  6 Nd 3.34-3.66, 2 Sm 3.46-3.49, 1 Ca 3.67
Ho 0.5446 0.1980 0.2977  6 Nd 3.34-3.66, 2 Sm 3.46-3.49, 1 Ca 3.67
Ho 0.9554 0.7023 0.8020  6 Nd 3.34-3.66, 2 Sm 3.46-3.49, 1 Ca 3.67

Summary:
**Formation energy from the elements**: 1.32 eV/f.u.
**Total moment**: 0.0 μB per formula unit
**SG**: No. 15

---

No. 5
This record from Alexandria describes a relaxed structure of CaNd2Sm6Ho3. The functional is PBE.

Unit cell a=6.2846 b=6.2846 c=11.9845 alpha=94.99 beta=94.99 gamma=120.01
With the nearest neighbours (Å) after each atom.
Fractional coordinates of all 12 atoms:
Ca 0.0000 0.0000 0.0000  6 Nd 3.63, 6 Sm 3.70
Nd 0.3331 0.6669 0.0000  3 Nd 3.63, 3 Ca 3.63, 6 Sm 3.67-3.68
Nd 0.6669 0.3331 0.0000  3 Nd 3.63, 3 Ca 3.63, 6 Sm 3.67-3.68
Sm 0.9137 0.5758 0.7436  3 Ho 3.54-3.57, 6 Sm 3.60-3.68, 2 Nd 3.67, 1 Ca 3.70
Sm 0.7487 0.7487 0.2571  3 Ho 3.53-3.55, 6 Sm 3.60-3.68, 2 Nd 3.68, 1 Ca 3.70
Sm 0.0863 0.4242 0.2564  3 Ho 3.54-3.57, 6 Sm 3.60-3.68, 2 Nd 3.67, 1 Ca 3.70
Sm 0.5758 0.9137 0.7436  3 Ho 3.54-3.57, 6 Sm 3.60-3.68, 2 Nd 3.67, 1 Ca 3.70
Sm 0.2513 0.2513 0.7429  3 Ho 3.53-3.55, 6 Sm 3.60-3.68, 2 Nd 3.68, 1 Ca 3.70
Sm 0.4242 0.0863 0.2564  3 Ho 3.54-3.57, 6 Sm 3.60-3.68, 2 Nd 3.67, 1 Ca 3.70
Ho 0.1658 0.8342 0.5000  6 Sm 3.54-3.57, 6 Ho 3.61-3.64
Ho 0.8342 0.1658 0.5000  6 Sm 3.54-3.57, 6 Ho 3.61-3.64
Ho 0.5000 0.5000 0.5000  6 Sm 3.53-3.56, 6 Ho 3.62-3.64

Summary:
**Formation energy from the elements**: 0.40 eV/f.u.
**Total moment**: 0.0 μB per formula unit
**SG**: No. 12

---

No. 6
This record from Alexandria describes a relaxed structure of CaNd3Sm6Ho2. The functional is PBE.

Unit cell a=6.3245 b=6.3245 c=12.0114 alpha=95.01 beta=95.01 gamma=120.02
With the nearest neighbours (Å) after each atom.
Fractional coordinates of all 12 atoms:
Ca 0.0000 0.0000 0.0000  6 Sm 3.64-3.65, 6 Ho 3.65
Nd 0.1661 0.8339 0.5000  6 Sm 3.62-3.66, 6 Nd 3.64-3.66
Nd 0.8339 0.1661 0.5000  6 Sm 3.62-3.66, 6 Nd 3.64-3.66
Nd 0.5000 0.5000 0.5000  6 Sm 3.62-3.66, 6 Nd 3.65-3.66
Sm 0.9161 0.5754 0.7513  2 Ho 3.60-3.61, 6 Sm 3.61-3.73, 3 Nd 3.62-3.66, 1 Ca 3.65
Sm 0.7434 0.7434 0.2491  2 Ho 3.61, 6 Sm 3.61-3.73, 3 Nd 3.62-3.65, 1 Ca 3.64
Sm 0.0839 0.4246 0.2487  2 Ho 3.60-3.61, 6 Sm 3.61-3.73, 3 Nd 3.62-3.66, 1 Ca 3.65
Sm 0.5754 0.9161 0.7513  2 Ho 3.60-3.61, 6 Sm 3.61-3.73, 3 Nd 3.62-3.66, 1 Ca 3.65
Sm 0.2566 0.2566 0.7509  2 Ho 3.61, 6 Sm 3.61-3.73, 3 Nd 3.62-3.65, 1 Ca 3.64
Sm 0.4246 0.0839 0.2487  2 Ho 3.60-3.61, 6 Sm 3.61-3.73, 3 Nd 3.62-3.66, 1 Ca 3.65
Ho 0.3333 0.6667 0.0000  6 Sm 3.60-3.61, 3 Ho 3.65, 3 Ca 3.65
Ho 0.6667 0.3333 0.0000  6 Sm 3.60-3.61, 3 Ho 3.65, 3 Ca 3.65

Summary:
**Formation energy from the elements**: 0.53 eV/f.u.
**Total moment**: 0.0 μB per formula unit
**SG**: No. 12

---

No. 7
This record from Alexandria describes a relaxed structure of CaNd6Sm3Ho2. The functional is PBE.

Unit cell a=6.3518 b=6.3518 c=12.0109 alpha=95.02 beta=95.02 gamma=120.01
With the nearest neighbours (Å) after each atom.
Fractional coordinates of all 12 atoms:
Ca 0.0000 0.0000 0.0000  6 Nd 3.67, 6 Ho 3.67
Nd 0.9158 0.5749 0.7500  3 Sm 3.61-3.65, 2 Ho 3.62, 6 Nd 3.63-3.75, 1 Ca 3.67
Nd 0.7434 0.7434 0.2507  3 Sm 3.60-3.64, 6 Nd 3.63-3.75, 2 Ho 3.63, 1 Ca 3.67
Nd 0.0842 0.4251 0.2500  3 Sm 3.61-3.65, 2 Ho 3.62, 6 Nd 3.63-3.75, 1 Ca 3.67
Nd 0.5749 0.9158 0.7500  3 Sm 3.61-3.65, 2 Ho 3.62, 6 Nd 3.63-3.75, 1 Ca 3.67
Nd 0.2566 0.2566 0.7493  3 Sm 3.60-3.64, 6 Nd 3.63-3.75, 2 Ho 3.63, 1 Ca 3.67
Nd 0.4251 0.0842 0.2500  3 Sm 3.61-3.65, 2 Ho 3.62, 6 Nd 3.63-3.75, 1 Ca 3.67
Sm 0.1665 0.8335 0.5000  6 Nd 3.61-3.65, 6 Sm 3.66-3.67
Sm 0.8335 0.1665 0.5000  6 Nd 3.61-3.65, 6 Sm 3.66-3.67
Sm 0.5000 0.5000 0.5000  6 Nd 3.60-3.65, 6 Sm 3.67
Ho 0.3332 0.6668 0.0000  6 Nd 3.62-3.63, 3 Ho 3.67, 3 Ca 3.67
Ho 0.6668 0.3332 0.0000  6 Nd 3.62-3.63, 3 Ho 3.67, 3 Ca 3.67

Summary:
**Formation energy from the elements**: 0.41 eV/f.u.
**Total moment**: 0.0 μB per formula unit
**SG**: No. 12

---

No. 8
This record from Alexandria describes a relaxed structure of CaNd2Sm2Ho2. The functional is PBE.

Unit cell a=5.1473 b=6.2911 c=8.1756 alpha=97.56 beta=90.00 gamma=114.15
With the nearest neighbours (Å) after each atom.
Fractional coordinates of all 7 atoms:
Ca 0.0000 0.0000 0.0000  6 Nd 3.64-3.66, 2 Sm 3.69, 4 Ho 3.72
Nd 0.7165 0.4330 0.1490  3 Sm 3.56-3.64, 4 Ho 3.60-3.76, 3 Ca 3.64-3.66, 2 Nd 3.70
Nd 0.2835 0.5670 0.8510  3 Sm 3.56-3.64, 4 Ho 3.60-3.76, 3 Ca 3.64-3.66, 2 Nd 3.70
Sm 0.1442 0.2884 0.4332  3 Nd 3.56-3.64, 5 Ho 3.56-3.66, 3 Sm 3.60-3.63, 1 Ca 3.69
Sm 0.8558 0.7116 0.5668  3 Nd 3.56-3.64, 5 Ho 3.56-3.66, 3 Sm 3.60-3.63, 1 Ca 3.69
Ho 0.5753 0.1505 0.7041  1 Ho 3.53, 5 Sm 3.56-3.66, 4 Nd 3.60-3.76, 2 Ca 3.72
Ho 0.4247 0.8495 0.2959  1 Ho 3.53, 5 Sm 3.56-3.66, 4 Nd 3.60-3.76, 2 Ca 3.72

Summary:
**Formation energy from the elements**: 0.38 eV/f.u.
**Total moment**: 0.0 μB per formula unit
**SG**: No. 12

---

No. 9
This record from Alexandria describes a relaxed structure of SrCaNdHo. The functional is PBE.

Unit cell a=6.0183 b=6.0183 c=6.0183 alpha=60.00 beta=60.00 gamma=60.00
With the nearest neighbours (Å) after each atom.
Fractional coordinates of all 4 atoms:
Sr 0.2500 0.2500 0.2500  4 Ho 3.69, 4 Ca 3.69
Ca 0.0000 0.0000 0.0000  4 Sr 3.69, 4 Nd 3.69
Nd 0.7500 0.7500 0.7500  4 Ca 3.69, 4 Ho 3.69
Ho 0.5000 0.5000 0.5000  4 Nd 3.69, 4 Sr 3.69

Summary:
**Formation energy from the elements**: 0.72 eV/f.u.
**Total moment**: 0.0 μB per formula unit
**SG**: No. 216

---

No. 10
This record from Alexandria describes a relaxed structure of CaTb3Nd6Ho2. The functional is PBE.

Unit cell a=6.3183 b=6.3183 c=11.9379 alpha=95.03 beta=95.03 gamma=119.98
With the nearest neighbours (Å) after each atom.
Fractional coordinates of all 12 atoms:
Ca 0.0000 0.0000 0.0000  6 Ho 3.65, 6 Nd 3.66
Tb 0.1665 0.8335 0.5000  6 Nd 3.57-3.61, 6 Tb 3.64-3.65
Tb 0.8335 0.1665 0.5000  6 Nd 3.57-3.61, 6 Tb 3.64-3.65
Tb 0.5000 0.5000 0.5000  6 Nd 3.56-3.61, 6 Tb 3.65
Nd 0.9151 0.5746 0.7480  3 Tb 3.57-3.61, 6 Nd 3.61-3.73, 2 Ho 3.62, 1 Ca 3.66
Nd 0.7444 0.7444 0.2527  3 Tb 3.56-3.60, 6 Nd 3.61-3.73, 2 Ho 3.63, 1 Ca 3.66
Nd 0.0849 0.4254 0.2520  3 Tb 3.57-3.61, 6 Nd 3.61-3.73, 2 Ho 3.62, 1 Ca 3.66
Nd 0.5746 0.9151 0.7480  3 Tb 3.57-3.61, 6 Nd 3.61-3.73, 2 Ho 3.62, 1 Ca 3.66
Nd 0.2556 0.2556 0.7473  3 Tb 3.56-3.60, 6 Nd 3.61-3.73, 2 Ho 3.63, 1 Ca 3.66
Nd 0.4254 0.0849 0.2520  3 Tb 3.57-3.61, 6 Nd 3.61-3.73, 2 Ho 3.62, 1 Ca 3.66
Ho 0.3333 0.6667 0.0000  6 Nd 3.62-3.63, 3 Ca 3.65, 3 Ho 3.65
Ho 0.6667 0.3333 0.0000  6 Nd 3.62-3.63, 3 Ca 3.65, 3 Ho 3.65

Summary:
**Formation energy from the elements**: 0.38 eV/f.u.
**Total moment**: 0.0 μB per formula unit
**SG**: No. 12

---

No. 11
This record from Alexandria describes a relaxed structure of Ca2NdHoTe4. The functional is PBE.

Unit cell a=4.4209 b=7.6665 c=7.8233 alpha=109.05 beta=90.00 gamma=90.00
With the nearest neighbours (Å) after each atom.
Fractional coordinates of all 8 atoms:
Ca 0.5000 0.0000 0.5000  6 Te 3.19
Ca 0.0000 0.5000 0.5000  6 Te 3.12-3.13
Nd 0.0000 0.0000 0.0000  6 Te 3.18
Ho 0.5000 0.5000 0.0000  6 Te 3.12
Te 0.5000 0.2575 0.2517  1 Ho 3.12, 3 Ca 3.12-3.19, 2 Nd 3.18
Te 0.5000 0.7425 0.7483  1 Ho 3.12, 3 Ca 3.12-3.19, 2 Nd 3.18
Te 0.0000 0.2575 0.7532  2 Ho 3.12, 3 Ca 3.13-3.19, 1 Nd 3.18
Te 0.0000 0.7425 0.2468  2 Ho 3.12, 3 Ca 3.13-3.19, 1 Nd 3.18

Summary:
**Uncorrected formation energy**: -1.47 eV/atom
**Total moment**: 0.0 μB per formula unit
**SG**: No. 10

---

No. 12
This record from Alexandria describes a relaxed structure of CaNd3Ho2Te6. The functional is PBE.

Unit cell a=4.4005 b=8.9749 c=9.9721 alpha=104.14 beta=102.75 gamma=90.00
With the nearest neighbours (Å) after each atom.
Fractional coordinates of all 12 atoms:
Ca 0.5000 0.0000 0.0000  6 Te 3.10-3.12
Nd 0.5000 0.5000 0.0000  6 Te 3.18-3.19
Nd 0.8355 0.1750 0.6710  6 Te 3.17-3.23
Nd 0.1645 0.8250 0.3290  6 Te 3.17-3.23
Ho 0.8311 0.6628 0.6623  6 Te 3.06-3.12
Ho 0.1689 0.3372 0.3377  6 Te 3.06-3.12
Te 0.3341 0.9101 0.6682  2 Ho 3.12, 1 Ca 3.12, 3 Nd 3.19-3.23
Te 0.6686 0.5737 0.3372  3 Ho 3.06, 3 Nd 3.17-3.18
Te 0.6659 0.0899 0.3318  2 Ho 3.12, 1 Ca 3.12, 3 Nd 3.19-3.23
Te 0.0051 0.2464 0.0102  1 Ho 3.08, 2 Ca 3.10, 3 Nd 3.19-3.20
Te 0.9949 0.7536 0.9898  1 Ho 3.08, 2 Ca 3.10, 3 Nd 3.19-3.20
Te 0.3314 0.4263 0.6628  3 Ho 3.06, 3 Nd 3.17-3.18

Summary:
**Uncorrected formation energy**: -1.40 eV/atom
**Total moment**: 0.0 μB per formula unit
**SG**: No. 12

---

> What is the formula in the fourth record?

CaNd6SmHo2